Entry a
The following is a PBE-GGA calculation of CsTlPt after structural relaxation, from the Alexandria database.

```
12
Lattice="-2.272 5.306 -3.922 -5.468 -1.621 7.183 3.743 4.450 3.853" Properties=species:S:1:pos:R:3 pbc="T T T"
Cs -3.472 5.537 3.294
Cs -3.531 3.028 -0.066
Cs -0.466 5.107 7.181
Cs -0.525 2.599 3.821
Pt -2.830 7.953 6.192
Pt -1.166 0.183 0.923
Pt -3.566 3.075 6.227
Pt -0.431 5.060 0.888
Tl -6.236 3.472 5.205
Tl 1.103 7.317 -0.051
Tl -5.100 0.818 7.166
Tl 2.239 4.664 1.910
```

Calculated values
symmetry = I4/mmm, No. 139
density = 8.6 Mg/m³
DOS(E_F) = 0.592 states/eV/atom



Entry b
The following is a PBE-GGA calculation of CsTlPt after structural relaxation, from the Alexandria database.

```
3
Lattice="-0.663 -0.169 -3.813 -1.725 -3.438 0.452 -4.510 4.779 2.540" Properties=species:S:1:pos:R:3 pbc="T T T"
Pt -3.242 1.691 0.489
Tl -3.708 -0.492 -1.301
Cs -6.847 1.145 -0.828
```

Calculated values
symmetry = I4mm, No. 107
density = 9.1 Mg/m³
DOS(E_F) = 0.305 states/eV/atom



What should be chosen as the most stable of them? Choose entry b.



Entry a
The following is a PBE-GGA calculation of CsTl2Pt2 after structural relaxation, from the Alexandria database.

```
5
Lattice="-0.886 3.556 -1.586 -2.031 0.966 3.300 6.330 5.869 4.594" Properties=species:S:1:pos:R:3 pbc="T T T"
Cs 0.000 0.000 0.000
Tl 0.767 3.292 1.925
Tl 2.645 7.099 4.383
Pt 1.993 5.843 1.932
Pt 1.420 4.548 4.375
```

Calculated values
symmetry = I4/mmm, No. 139
density = 10.4 Mg/m³
DOS(E_F) = 0.241 states/eV/atom



Entry b
The following is a PBE-GGA calculation of CsTl2Pt2 after structural relaxation, from the Alexandria database.

```
10
Lattice="8.906 0.000 0.000 0.000 8.906 0.000 0.000 0.000 3.129" Properties=species:S:1:pos:R:3 pbc="T T T"
Cs 4.453 4.453 0.000
Cs 0.000 0.000 0.000
Tl 1.167 5.619 1.565
Tl 3.286 1.167 1.565
Tl 5.619 7.739 1.565
Tl 7.739 3.286 1.565
Pt 7.478 5.880 0.000
Pt 3.025 7.478 0.000
Pt 1.427 3.025 0.000
Pt 5.880 1.427 0.000
```

Calculated values
symmetry = P4/mbm, No. 127
density = 12.5 Mg/m³
DOS(E_F) = 0.221 states/eV/atom



Entry c
The following is a PBE-GGA calculation of CsTl2Pt2 after structural relaxation, from the Alexandria database.

```
5
Lattice="-3.375 -0.554 2.984 -2.933 -2.320 -3.747 4.872 -4.600 1.203" Properties=species:S:1:pos:R:3 pbc="T T T"
Tl -2.372 -3.104 0.193
Tl 0.936 -4.370 0.248
Pt -0.507 -3.014 2.319
Pt -0.928 -4.460 -1.878
Cs 0.000 0.000 0.000
```

Calculated values
symmetry = C2/m, No. 12
density = 10.3 Mg/m³
DOS(E_F) = 0.513 states/eV/atom



What should be chosen as the most stable of them? Choose entry a.



Entry a
The following is a PBE-GGA calculation of CsTlPt3 after structural relaxation, from the Alexandria database.

```
5
Lattice="-0.385 -2.012 4.907 2.724 -4.297 -1.548 4.551 2.402 1.342" Properties=species:S:1:pos:R:3 pbc="T T T"
Tl 3.445 -1.953 2.351
Pt 1.362 -2.148 -0.774
Pt -0.193 -1.006 2.454
Pt 2.275 1.201 0.671
Cs 0.000 0.000 0.000
```

Calculated values
symmetry = Pm-3m, No. 221
density = 10.2 Mg/m³
DOS(E_F) = 0.390 states/eV/atom



Entry b
The following is a PBE-GGA calculation of CsTlPt3 after structural relaxation, from the Alexandria database.

```
5
Lattice="-4.667 1.876 -1.481 -2.353 -3.036 3.570 0.420 3.842 3.543" Properties=species:S:1:pos:R:3 pbc="T T T"
Pt 0.210 1.921 1.772
Pt -1.176 -1.518 1.785
Pt -2.334 0.938 -0.740
Cs -3.300 1.341 2.816
Tl 0.000 0.000 0.000
```

Calculated values
symmetry = Pm-3m, No. 221
density = 10.6 Mg/m³
DOS(E_F) = 0.799 states/eV/atom



What should be chosen as the most stable of them? Choose entry b.



Entry a
The following is a PBE-GGA calculation of CsTl4Pt2 after structural relaxation, from the Alexandria database.

```
7
Lattice="4.919 0.000 0.000 0.000 5.019 0.000 0.000 -2.509 8.186" Properties=species:S:1:pos:R:3 pbc="T T T"
Tl 2.460 2.509 5.384
Tl 0.000 2.509 2.868
Tl 2.460 0.000 2.802
Tl 0.000 0.000 5.318
Pt 2.460 0.000 6.872
Pt 2.460 2.509 1.314
Cs 0.000 0.000 0.000
```

Calculated values
symmetry = Cmmm, No. 65
density = 11.0 Mg/m³
DOS(E_F) = 0.492 states/eV/atom



Entry b
The following is a PBE-GGA calculation of CsTl4Pt2 after structural relaxation, from the Alexandria database.

```
28
Lattice="4.300 0.000 0.000 0.000 14.389 0.000 0.000 0.000 13.898" Properties=species:S:1:pos:R:3 pbc="T T T"
Cs 1.075 3.289 2.435
Cs 3.225 3.906 9.383
Cs 1.075 10.483 4.514
Cs 3.225 11.101 11.463
Tl 3.225 3.897 5.561
Tl 3.225 0.399 1.253
Tl 3.225 5.774 0.168
Tl 1.075 1.420 7.117
Tl 1.075 3.298 12.510
Tl 3.225 7.388 10.874
Tl 3.225 7.594 5.695
Tl 3.225 12.969 6.781
Tl 1.075 14.196 3.925
Tl 1.075 6.795 8.202
Tl 3.225 0.194 9.973
Tl 1.075 13.990 12.644
Tl 3.225 11.092 1.388
Tl 1.075 7.001 3.024
Tl 1.075 8.615 13.730
Tl 1.075 10.492 8.336
Pt 1.075 6.099 12.201
Pt 1.075 12.898 1.421
Pt 3.225 1.491 12.477
Pt 3.225 8.685 8.370
Pt 3.225 8.290 1.697
Pt 3.225 1.095 5.252
Pt 1.075 13.294 8.646
Pt 1.075 5.704 5.528
```

Calculated values
symmetry = Pnma, No. 62
density = 10.4 Mg/m³
DOS(E_F) = 0.490 states/eV/atom



What should be chosen as the most stable of them? Choose entry b.



Entry a
The following is a PBE-GGA calculation of CsYPt3 after structural relaxation, from the Alexandria database.

```
5
Lattice="5.371 0.000 0.000 0.000 5.371 0.000 0.000 0.000 5.371" Properties=species:S:1:pos:R:3 pbc="T T T"
Y 0.000 0.000 0.000
Cs 2.685 2.685 2.685
Pt 0.000 0.000 2.685
Pt 2.685 0.000 0.000
Pt 0.000 2.685 0.000
```

Calculated values
symmetry = Pm-3m, No. 221
density = 8.7 Mg/m³
DOS(E_F) = 0.820 states/eV/atom



Entry b
The following is a PBE-GGA calculation of CsYPt3 after structural relaxation, from the Alexandria database.

```
5
Lattice="-4.799 1.550 -1.184 -1.944 -4.062 2.562 -0.162 2.818 4.344" Properties=species:S:1:pos:R:3 pbc="T T T"
Cs 0.000 0.000 0.000
Pt -0.081 1.409 2.172
Pt -2.400 0.775 -0.592
Pt -0.972 -2.031 1.281
Y -3.453 0.153 2.861
```

Calculated values
symmetry = Pm-3m, No. 221
density = 9.6 Mg/m³
DOS(E_F) = 1.260 states/eV/atom



What should be chosen as the most stable of them? Choose entry a.



Entry a
The following is a PBE-GGA calculation of CsZrPt3 after structural relaxation, from the Alexandria database.

```
5
Lattice="5.109 0.000 0.000 0.000 5.109 0.000 0.000 0.000 5.109" Properties=species:S:1:pos:R:3 pbc="T T T"
Pt 0.000 0.000 2.554
Pt 2.554 0.000 0.000
Pt 0.000 2.554 0.000
Cs 0.000 0.000 0.000
Zr 2.554 2.554 2.554
```

Calculated values
symmetry = Pm-3m, No. 221
density = 10.1 Mg/m³
DOS(E_F) = 1.399 states/eV/atom



Entry b
The following is a PBE-GGA calculation of CsZrPt3 after structural relaxation, from the Alexandria database.

```
5
Lattice="-2.436 1.750 4.247 -4.565 -0.387 -2.459 -0.511 -4.881 1.718" Properties=species:S:1:pos:R:3 pbc="T T T"
Pt -2.283 -0.194 -1.229
Pt -1.218 0.875 2.124
Pt -0.255 -2.441 0.859
Zr 0.000 0.000 0.000
Cs -3.756 -1.759 1.753
```

Calculated values
symmetry = Pm-3m, No. 221
density = 9.6 Mg/m³
DOS(E_F) = 0.722 states/eV/atom



What should be chosen as the most stable of them? Choose entry b.



Entry a
The following is a PBE-GGA calculation of CsPu4S6 after structural relaxation, from the Alexandria database.

```
22
Lattice="4.043 0.000 0.000 -2.021 6.744 0.000 0.000 0.000 21.310" Properties=species:S:1:pos:R:3 pbc="T T T"
Pu 0.000 5.420 2.748
Pu 2.021 1.324 18.562
Pu 2.021 4.928 20.487
Pu 2.021 4.928 11.477
Pu 0.000 1.816 0.822
Pu 0.000 1.816 9.833
Pu 2.021 1.324 13.402
Pu 0.000 5.420 7.907
S 2.021 6.337 18.194
S 2.021 3.603 1.668
S 0.000 4.872 5.327
S 2.021 1.872 15.982
S 2.021 6.337 13.770
S 0.000 0.407 7.540
S 0.000 3.142 12.323
S 2.021 0.000 10.655
S 2.021 0.000 0.000
S 2.021 3.603 8.987
S 0.000 0.407 3.115
S 0.000 3.142 19.641
Cs 2.021 2.128 5.327
Cs 0.000 4.617 15.982
```

Calculated values
symmetry = Cmcm, No. 63
density = 7.4 Mg/m³
DOS(E_F) = 3.879 states/eV/atom



Entry b
The following is a PBE-GGA calculation of CsPu4S6 after structural relaxation, from the Alexandria database.

```
11
Lattice="7.358 -0.011 -0.017 -3.412 6.519 0.017 -3.412 -2.381 6.068" Properties=species:S:1:pos:R:3 pbc="T T T"
Pu -2.650 3.296 4.847
Pu -2.676 -0.066 3.535
Pu -2.676 3.312 1.238
Pu 1.712 1.723 2.533
S -0.963 1.972 2.901
S -4.630 4.196 3.184
S 1.973 -1.196 3.026
S -4.630 1.419 5.073
S 3.932 0.677 0.995
S 1.973 3.254 0.000
Cs 0.000 0.000 0.000
```

Calculated values
symmetry = I-42m, No. 121
density = 7.4 Mg/m³
DOS(E_F) = 3.199 states/eV/atom



What should be chosen as the most stable of them? Choose entry a.



Entry a
The following is a PBE-GGA calculation of CsRb5 after structural relaxation, from the Alexandria database.

```
6
Lattice="-5.126 2.125 -0.462 -2.401 -4.391 6.439 4.346 11.402 4.232" Properties=species:S:1:pos:R:3 pbc="T T T"
Rb -0.168 0.827 5.666
Rb -1.702 4.900 7.872
Rb -1.479 4.236 2.337
Rb -3.763 -1.133 2.988
Rb 2.113 6.184 5.005
Cs 0.000 0.000 0.000
```

Calculated values
symmetry = Cmmm, No. 65
density = 1.7 Mg/m³
DOS(E_F) = 0.941 states/eV/atom



Entry b
The following is a PBE-GGA calculation of CsRb5 after structural relaxation, from the Alexandria database.

```
6
Lattice="-6.735 0.847 4.493 5.070 -6.212 1.398 4.968 5.498 6.411" Properties=species:S:1:pos:R:3 pbc="T T T"
Rb 0.951 2.645 8.302
Rb 4.887 0.292 7.270
Rb 2.352 -2.512 4.000
Rb 0.000 0.000 0.000
Rb -1.583 -0.159 5.031
Cs 2.484 2.749 3.206
```

Calculated values
symmetry = P6/mmm, No. 191
density = 1.7 Mg/m³
DOS(E_F) = 0.942 states/eV/atom



What should be chosen as the most stable of them? Choose entry a.



Entry a
The following is a PBE-GGA calculation of Cs2Rb after structural relaxation, from the Alexandria database.

```
6
Lattice="9.770 0.000 0.000 4.885 8.461 0.000 4.885 2.820 7.977" Properties=species:S:1:pos:R:3 pbc="T T T"
Rb 0.000 0.000 0.000
Rb 4.885 2.820 1.994
Cs 9.770 2.820 4.986
Cs 7.328 7.051 4.986
Cs 9.770 5.641 0.997
Cs 12.213 7.051 4.986
```

Calculated values
symmetry = Fd-3m, No. 227
density = 1.8 Mg/m³
DOS(E_F) = 0.998 states/eV/atom



Entry b
The following is a PBE-GGA calculation of Cs2Rb after structural relaxation, from the Alexandria database.

```
6
Lattice="5.792 0.000 0.000 0.000 5.792 0.000 0.000 0.000 18.857" Properties=species:S:1:pos:R:3 pbc="T T T"
Cs 2.896 0.000 11.108
Cs 2.896 0.000 4.376
Cs 0.000 2.896 7.749
Cs 0.000 2.896 14.481
Rb 2.896 0.000 17.520
Rb 0.000 2.896 1.337
```

Calculated values
symmetry = P4/nmm, No. 129
density = 1.8 Mg/m³
DOS(E_F) = 1.051 states/eV/atom



What should be chosen as the most stable of them? Choose entry b.



Entry a
The following is a PBE-GGA calculation of Cs3Rb2 after structural relaxation, from the Alexandria database.

```
10
Lattice="9.346 0.000 0.000 4.673 8.791 0.000 4.673 0.000 12.653" Properties=species:S:1:pos:R:3 pbc="T T T"
Cs 6.176 4.991 3.757
Cs 3.840 0.596 2.569
Cs 6.176 3.800 8.895
Cs 8.594 0.000 0.000
Cs 13.186 8.195 10.084
Cs 10.931 4.396 6.326
Rb 10.556 4.087 11.431
Rb 10.555 4.704 1.222
Rb 8.219 0.309 5.105
Rb 8.219 8.482 7.548
```

Calculated values
symmetry = Fdd2, No. 43
density = 1.8 Mg/m³
DOS(E_F) = 1.065 states/eV/atom



Entry b
The following is a PBE-GGA calculation of Cs3Rb2 after structural relaxation, from the Alexandria database.

```
10
Lattice="14.456 0.000 0.000 7.228 12.519 0.000 7.228 4.173 5.899" Properties=species:S:1:pos:R:3 pbc="T T T"
Rb 14.456 8.346 0.750
Rb 14.455 8.346 5.148
Rb 21.683 12.519 2.199
Rb 7.228 4.173 3.700
Cs 11.954 12.519 4.424
Cs 12.092 4.093 4.424
Cs 16.957 4.173 1.475
Cs 19.320 8.426 4.424
Cs 9.591 8.266 1.475
Cs 16.819 12.599 1.475
```

Calculated values
symmetry = R-3c, No. 167
density = 1.8 Mg/m³
DOS(E_F) = 1.102 states/eV/atom



What should be chosen as the most stable of them? Choose entry a.



Entry a
The following is a PBE-GGA calculation of Cs2Rb13 after structural relaxation, from the Alexandria database.

```
15
Lattice="-6.433 -5.103 -4.141 -3.859 -2.452 12.043 -6.479 9.598 -5.757" Properties=species:S:1:pos:R:3 pbc="T T T"
Rb -12.171 3.714 2.407
Rb -11.216 3.145 -5.444
Rb -7.394 0.374 3.256
Rb -9.377 1.670 -1.111
Rb -10.185 -2.641 7.448
Rb -4.600 -1.670 -0.261
Rb -7.608 5.285 2.688
Rb -9.163 -3.241 -0.542
Rb -5.555 -1.101 7.590
Rb -9.313 6.574 -1.700
Rb -6.586 4.685 -5.302
Rb -7.457 -4.531 3.846
Rb 0.000 0.000 0.000
Cs -12.136 -1.236 2.982
Cs -4.634 3.280 -0.836
```

Calculated values
symmetry = P-1, No. 2
density = 1.7 Mg/m³
DOS(E_F) = 0.880 states/eV/atom



Entry b
The following is a PBE-GGA calculation of Cs2Rb13 after structural relaxation, from the Alexandria database.

```
15
Lattice="11.763 0.000 5.798 4.453 10.888 5.798 0.388 0.260 14.045" Properties=species:S:1:pos:R:3 pbc="T T T"
Rb 8.658 5.813 17.563
Rb 4.772 8.160 10.675
Rb 4.450 2.988 11.328
Rb 7.017 1.802 15.427
Rb 9.359 1.328 10.675
Rb 4.324 5.813 15.427
Rb 7.946 5.335 8.078
Rb 9.587 9.347 10.214
Rb 12.153 8.160 14.313
Rb 7.245 9.820 14.966
Rb 8.302 5.574 12.820
Rb 11.832 2.988 14.966
Rb 12.280 5.335 10.214
Cs 12.317 8.270 19.507
Cs 4.287 2.878 6.134
```

Calculated values
symmetry = R-3m, No. 166
density = 1.3 Mg/m³
DOS(E_F) = 1.034 states/eV/atom



What should be chosen as the most stable of them? Choose entry a.